Compound: Nd6Cd2Ni
Source: Alexandria
Functional: PBE-GGA
Structure: optimized geometry

a b c (Å): 7.054 7.131 13.106
angles (deg): 90.00 122.33 90.00
Sites, in units of the cell vectors:
Nd 0.161 0.177 0.464
Nd 0.161 0.323 0.964
Nd 0.290 0.692 0.465
Nd 0.290 0.808 0.965
Nd 0.336 0.538 0.744
Nd 0.336 0.962 0.244
Nd 0.664 0.038 0.756
Nd 0.664 0.462 0.256
Nd 0.710 0.192 0.035
Nd 0.710 0.308 0.535
Nd 0.839 0.677 0.036
Nd 0.839 0.823 0.536
Cd 0.197 0.091 0.749
Cd 0.197 0.409 0.249
Cd 0.803 0.591 0.751
Cd 0.803 0.909 0.251
Ni 0.000 0.000 0.000
Ni 0.000 0.500 0.500

Results
**Magnetization**: 0.00 μB/f.u.
**Calculated total energy**: -4.137 eV per atom
**ΔE_f**: -0.113 eV per atom

=====

Compound: Nd4Cd2Ni
Source: Alexandria
Functional: PBE-GGA
Structure: optimized geometry

a b c (Å): 8.766 8.766 8.766
angles (deg): 144.92 144.92 50.45
Sites, in units of the cell vectors:
Nd 0.000 0.500 0.500
Nd 0.180 0.180 0.000
Nd 0.500 0.000 0.500
Nd 0.820 0.820 0.000
Cd 0.375 0.375 0.000
Cd 0.625 0.625 0.000
Ni 0.000 0.000 0.000

Results
**Magnetization**: 0.00 μB/f.u.
**Calculated total energy**: -3.891 eV per atom
**ΔE_f**: -0.079 eV per atom

=====

Compound: NdCd3Ni8
Source: Alexandria
Functional: PBE-GGA
Structure: optimized geometry

a b c (Å): 8.649 8.649 8.649
angles (deg): 33.38 33.38 33.38
Sites, in units of the cell vectors:
Nd 0.000 0.000 0.000
Cd 0.383 0.383 0.383
Cd 0.503 0.503 0.503
Cd 0.872 0.872 0.872
Ni 0.188 0.188 0.188
Ni 0.437 0.437 0.936
Ni 0.437 0.936 0.437
Ni 0.443 0.938 0.938
Ni 0.689 0.689 0.689
Ni 0.936 0.437 0.437
Ni 0.938 0.443 0.938
Ni 0.938 0.938 0.443

Results
**Magnetization**: 0.99 μB/f.u.
**Calculated total energy**: -4.588 eV per atom
**ΔE_f**: -0.108 eV per atom

=====

Compound: Nd5CdNi2
Source: Alexandria
Functional: PBE-GGA
Structure: optimized geometry

a b c (Å): 8.798 8.798 8.798
angles (deg): 125.83 125.83 80.17
Sites, in units of the cell vectors:
Nd 0.000 0.000 0.000
Nd 0.024 0.524 0.821
Nd 0.204 0.024 0.500
Nd 0.296 0.796 0.821
Nd 0.476 0.296 0.500
Nd 0.500 0.500 0.000
Nd 0.524 0.704 0.500
Nd 0.704 0.204 0.179
Nd 0.796 0.976 0.500
Nd 0.976 0.476 0.179
Cd 0.250 0.250 0.000
Cd 0.750 0.750 0.000
Ni 0.120 0.380 0.500
Ni 0.380 0.880 0.260
Ni 0.620 0.120 0.740
Ni 0.880 0.620 0.500

Results
**Magnetization**: 0.00 μB/f.u.
**Calculated total energy**: -4.761 eV per atom
**ΔE_f**: -0.222 eV per atom

=====

Compound: Nd6CdNi2
Source: Alexandria
Functional: PBE-GGA
Structure: optimized geometry

a b c (Å): 8.701 8.701 8.701
angles (deg): 113.67 108.69 106.14
Sites, in units of the cell vectors:
Nd 0.028 0.230 0.799
Nd 0.182 0.294 0.475
Nd 0.182 0.706 0.888
Nd 0.323 0.015 0.692
Nd 0.323 0.631 0.308
Nd 0.431 0.230 0.201
Nd 0.569 0.770 0.799
Nd 0.677 0.369 0.692
Nd 0.677 0.985 0.308
Nd 0.818 0.294 0.112
Nd 0.818 0.706 0.525
Nd 0.972 0.770 0.201
Cd 0.000 0.000 0.000
Cd 0.500 0.500 0.000
Ni 0.120 0.620 0.500
Ni 0.358 0.000 0.358
Ni 0.642 0.000 0.642
Ni 0.880 0.380 0.500

Results
**Magnetization**: 0.00 μB/f.u.
**Calculated total energy**: -4.781 eV per atom
**ΔE_f**: -0.216 eV per atom

=====

Compound: NdCd4Ni
Source: Alexandria
Functional: PBE-GGA
Structure: optimized geometry

a b c (Å): 8.519 8.519 5.328
angles (deg): 108.22 108.22 48.71
Sites, in units of the cell vectors:
Nd 0.207 0.207 0.207
Nd 0.793 0.793 0.793
Cd 0.117 0.660 0.388
Cd 0.196 0.804 0.000
Cd 0.340 0.340 0.841
Cd 0.340 0.883 0.612
Cd 0.660 0.117 0.388
Cd 0.660 0.660 0.159
Cd 0.804 0.196 0.000
Cd 0.883 0.340 0.612
Ni 0.500 0.500 0.274
Ni 0.500 0.500 0.726

Results
**Magnetization**: 0.00 μB/f.u.
**Calculated total energy**: -2.484 eV per atom
**ΔE_f**: -0.116 eV per atom

=====

Compound: NdCd20Ni2
Source: Alexandria
Functional: PBE-GGA
Structure: optimized geometry

a b c (Å): 11.163 11.163 11.163
angles (deg): 60.00 60.00 60.00
Sites, in units of the cell vectors:
Nd 0.125 0.125 0.125
Nd 0.875 0.875 0.875
Cd 0.000 0.000 0.000
Cd 0.000 0.000 0.500
Cd 0.000 0.500 0.000
Cd 0.056 0.324 0.324
Cd 0.056 0.324 0.795
Cd 0.056 0.795 0.324
Cd 0.205 0.676 0.676
Cd 0.205 0.676 0.944
Cd 0.205 0.944 0.676
Cd 0.238 0.238 0.512
Cd 0.238 0.512 0.238
Cd 0.238 0.512 0.512
Cd 0.324 0.056 0.324
Cd 0.324 0.056 0.795
Cd 0.324 0.324 0.056
Cd 0.324 0.324 0.795
Cd 0.324 0.795 0.056
Cd 0.324 0.795 0.324
Cd 0.488 0.488 0.762
Cd 0.488 0.762 0.488
Cd 0.488 0.762 0.762
Cd 0.500 0.000 0.000
Cd 0.512 0.238 0.238
Cd 0.512 0.238 0.512
Cd 0.512 0.512 0.238
Cd 0.676 0.205 0.676
Cd 0.676 0.205 0.944
Cd 0.676 0.676 0.205
Cd 0.676 0.676 0.944
Cd 0.676 0.944 0.205
Cd 0.676 0.944 0.676
Cd 0.762 0.488 0.488
Cd 0.762 0.488 0.762
Cd 0.762 0.762 0.488
Cd 0.795 0.056 0.324
Cd 0.795 0.324 0.056
Cd 0.795 0.324 0.324
Cd 0.944 0.205 0.676
Cd 0.944 0.676 0.205
Cd 0.944 0.676 0.676
Ni 0.000 0.500 0.500
Ni 0.500 0.000 0.500
Ni 0.500 0.500 0.000
Ni 0.500 0.500 0.500

Results
**Magnetization**: 0.00 μB/f.u.
**Calculated total energy**: -1.596 eV per atom
**ΔE_f**: -0.090 eV per atom

=====

Compound: PrNdCdNi
Source: Alexandria
Functional: PBE-GGA
Structure: optimized geometry

a b c (Å): 5.245 5.245 5.245
angles (deg): 60.00 60.00 60.00
Sites, in units of the cell vectors:
Pr 0.000 0.000 0.000
Nd 0.500 0.500 0.500
Cd 0.250 0.250 0.250
Ni 0.750 0.750 0.750

Results
**Magnetization**: 0.00 μB/f.u.
**Calculated total energy**: -4.230 eV per atom
**ΔE_f**: -0.169 eV per atom